Entry a
Computed, not measured: crystalline Tm8InRu2 at its relaxed geometry at the PBE level of DFT.

a = 5.199 Å, b = 6.853 Å, c = 8.944 Å
α = 112.47°, β = 106.89°, γ = 90.01°
Element x y z (fractional)
Tm 0.347 0.857 0.331
Tm 0.306 0.353 0.248
Tm 0.137 0.546 0.910
Tm 0.527 0.709 0.689
Tm 0.967 0.015 0.570
Tm 0.747 0.930 0.130
Tm 0.636 0.274 0.908
Tm 0.926 0.436 0.487
Ru 0.806 0.621 0.250
Ru 0.465 0.280 0.568
In 0.137 0.979 0.909

Values from the calculation:
calculated volume = 280 Å³/f.u.

Entry b
Computed, not measured: crystalline Tm8InRu2 at its relaxed geometry at the PBE level of DFT.

a = 5.361 Å, b = 7.798 Å, c = 7.798 Å
α = 112.47°, β = 97.67°, γ = 97.67°
Element x y z (fractional)
Tm 0.500 0.248 0.752
Tm 0.500 0.752 0.248
Tm 0.301 0.615 0.615
Tm 0.921 0.670 0.935
Tm 0.921 0.935 0.670
Tm 0.079 0.065 0.330
Tm 0.079 0.330 0.065
Tm 0.699 0.385 0.385
In 0.500 0.000 0.000
Ru 0.000 0.685 0.315
Ru 0.000 0.315 0.685

Values from the calculation:
calculated volume = 292 Å³/f.u.

According to the calculations, the structures order from most to least stable as entry b, entry a.

Entry a
Computed, not measured: crystalline Tm2InRu at its relaxed geometry at the PBE level of DFT.

a = 4.993 Å, b = 4.993 Å, c = 4.993 Å
α = 60.00°, β = 60.00°, γ = 60.00°
Element x y z (fractional)
Ru 0.500 0.500 0.500
In 0.000 0.000 0.000
Tm 0.250 0.250 0.250
Tm 0.750 0.750 0.750

Values from the calculation:
calculated volume = 88 Å³/f.u.

Entry b
Computed, not measured: crystalline Tm2InRu at its relaxed geometry at the PBE level of DFT.

a = 3.414 Å, b = 3.414 Å, c = 7.704 Å
α = 90.00°, β = 90.00°, γ = 90.00°
Element x y z (fractional)
Ru 0.500 0.500 0.000
In 0.500 0.500 0.500
Tm 0.000 0.000 0.789
Tm 0.000 0.000 0.211

Values from the calculation:
calculated volume = 90 Å³/f.u.

According to the calculations, the structures order from most to least stable as entry b, entry a.

Entry a
Computed, not measured: crystalline Tm4InRu at its relaxed geometry at the PBE level of DFT.

a = 4.954 Å, b = 4.961 Å, c = 8.477 Å
α = 72.98°, β = 73.01°, γ = 60.05°
Element x y z (fractional)
Tm 0.887 0.888 0.339
Tm 0.635 0.635 0.095
Tm 0.113 0.112 0.661
Tm 0.365 0.365 0.905
Ru 0.000 0.000 0.000
In 0.500 0.500 0.500

Values from the calculation:
calculated volume = 170 Å³/f.u.

Entry b
Computed, not measured: crystalline Tm4InRu at its relaxed geometry at the PBE level of DFT.

a = 9.509 Å, b = 9.509 Å, c = 9.509 Å
α = 60.00°, β = 60.00°, γ = 60.00°
Element x y z (fractional)
Tm 0.559 0.941 0.941
Tm 0.559 0.941 0.559
Tm 0.402 0.793 0.402
Tm 0.559 0.559 0.941
Tm 0.191 0.809 0.809
Tm 0.941 0.559 0.941
Tm 0.402 0.402 0.402
Tm 0.191 0.191 0.809
Tm 0.191 0.809 0.191
Tm 0.941 0.559 0.559
Tm 0.793 0.402 0.402
Tm 0.809 0.191 0.809
Tm 0.809 0.809 0.191
Tm 0.402 0.402 0.793
Tm 0.809 0.191 0.191
Tm 0.941 0.941 0.559
Ru 0.611 0.611 0.611
Ru 0.611 0.168 0.611
Ru 0.168 0.611 0.611
Ru 0.611 0.611 0.168
In 0.167 0.167 0.167
In 0.167 0.498 0.167
In 0.167 0.167 0.498
In 0.498 0.167 0.167

Values from the calculation:
calculated volume = 152 Å³/f.u.

According to the calculations, the structures order from most to least stable as entry b, entry a.

Entry a
Computed, not measured: crystalline TmZrInRu at its relaxed geometry at the PBE level of DFT.

a = 4.911 Å, b = 4.911 Å, c = 4.911 Å
α = 60.00°, β = 60.00°, γ = 60.00°
Element x y z (fractional)
In 0.250 0.250 0.250
Tm 0.000 0.000 0.000
Zr 0.500 0.500 0.500
Ru 0.750 0.750 0.750

Values from the calculation:
calculated volume = 84 Å³/f.u.

Entry b
Computed, not measured: crystalline TmZrInRu at its relaxed geometry at the PBE level of DFT.

a = 3.310 Å, b = 3.310 Å, c = 7.730 Å
α = 90.00°, β = 90.00°, γ = 90.00°
Element x y z (fractional)
In 0.000 0.000 0.085
Ru 0.000 0.000 0.557
Tm 0.500 0.500 0.785
Zr 0.500 0.500 0.357

Values from the calculation:
calculated volume = 85 Å³/f.u.

According to the calculations, the structures order from most to least stable as entry b, entry a.

Entry a
Computed, not measured: crystalline InRuW at its relaxed geometry at the PBE level of DFT.

a = 4.339 Å, b = 4.339 Å, c = 4.339 Å
α = 60.00°, β = 60.00°, γ = 60.00°
Element x y z (fractional)
In 0.500 0.500 0.500
W 0.000 0.000 0.000
Ru 0.750 0.750 0.750

Values from the calculation:
calculated volume = 58 Å³/f.u.

Entry b
Computed, not measured: crystalline InRuW at its relaxed geometry at the PBE level of DFT.

a = 7.359 Å, b = 7.115 Å, c = 2.861 Å
α = 83.43°, β = 73.85°, γ = 22.72°
Element x y z (fractional)
W 0.323 0.323 0.677
In 0.004 0.004 0.996
Ru 0.673 0.673 0.327

Values from the calculation:
calculated volume = 51 Å³/f.u.

Entry c
Computed, not measured: crystalline InRuW at its relaxed geometry at the PBE level of DFT.

a = 6.113 Å, b = 6.113 Å, c = 6.113 Å
α = 151.77°, β = 151.77°, γ = 40.34°
Element x y z (fractional)
In 0.996 0.996 0.000
W 0.685 0.685 0.000
Ru 0.319 0.319 0.000

Values from the calculation:
calculated volume = 51 Å³/f.u.

According to the calculations, the structures order from most to least stable as entry c, entry b, entry a.

Entry a
Computed, not measured: crystalline InRu3W at its relaxed geometry at the PBE level of DFT.

a = 4.694 Å, b = 4.694 Å, c = 4.694 Å
α = 90.00°, β = 90.00°, γ = 90.00°
Element x y z (fractional)
Ru 0.000 0.500 0.000
Ru 0.500 0.000 0.000
Ru 0.000 0.000 0.500
In 0.500 0.500 0.500
W 0.000 0.000 0.000

Values from the calculation:
calculated volume = 103 Å³/f.u.

Entry b
Computed, not measured: crystalline InRu3W at its relaxed geometry at the PBE level of DFT.

a = 4.667 Å, b = 4.667 Å, c = 4.667 Å
α = 90.00°, β = 90.00°, γ = 90.00°
Element x y z (fractional)
Ru 0.000 0.000 0.500
Ru 0.000 0.500 0.000
Ru 0.500 0.000 0.000
W 0.500 0.500 0.500
In 0.000 0.000 0.000

Values from the calculation:
calculated volume = 102 Å³/f.u.

According to the calculations, the structures order from most to least stable as entry a, entry b.